Record 1
Density functional theory data (PBE) for crystalline Pm2Er6Sc at its relaxed geometry.

Computed properties:
Calculated volume, Å³/atom: 30.7
DFT formation energy, meV per atom: 104
Distance to the lowest polymorph of the same formula, meV per atom: 5.7
D(E_F), states/eV per atom: 1.43
Space-group type: C2/c

Cell: 9.9181 9.9181 6.0046 Å, 95.59 95.59 70.41°
Positions (direct):
1 Pm 0.0684 0.2738 0.0637
2 Pm 0.2738 0.0684 0.5637
3 Pm 0.7262 0.9316 0.4363
4 Pm 0.9316 0.7262 0.9363
5 Er 0.0931 0.8097 0.4890
6 Er 0.1579 0.4333 0.6375
7 Er 0.1903 0.9069 0.0110
8 Er 0.2584 0.5248 0.1735
9 Er 0.4333 0.1579 0.1375
10 Er 0.4752 0.7416 0.3265
11 Er 0.5248 0.2584 0.6735
12 Er 0.5667 0.8421 0.8625
13 Er 0.7416 0.4752 0.8265
14 Er 0.8097 0.0931 0.9890
15 Er 0.8421 0.5667 0.3625
16 Er 0.9069 0.1903 0.5110
17 Sc 0.3971 0.6029 0.7500
18 Sc 0.6029 0.3971 0.2500

=====

Record 2
Density functional theory data (PBE) for crystalline TcSbH at its relaxed geometry.

Computed properties:
Calculated volume, Å³/atom: 14.8
Distance to the lowest polymorph of the same formula, meV per atom: 0.0
D(E_F), states/eV per atom: 0.36
Space-group type: P4_2/m

Cell: 6.6675 6.6675 3.9845 Å, 90.00 90.00 90.00°
Positions (direct):
1 Tc 0.1304 0.8373 0.0000
2 Tc 0.1627 0.1304 0.5000
3 Tc 0.8373 0.8696 0.5000
4 Tc 0.8696 0.1627 0.0000
5 Sb 0.2087 0.4175 0.0000
6 Sb 0.4175 0.7913 0.5000
7 Sb 0.5825 0.2087 0.5000
8 Sb 0.7913 0.5825 0.0000
9 H 0.0628 0.7432 0.5000
10 H 0.2568 0.0628 0.0000
11 H 0.7432 0.9372 0.0000
12 H 0.9372 0.2568 0.5000